[1]
VASP calculation (PBE) on a relaxed Ca3Cd4Pd4 crystal.

Total moment in μB per cell: 0.0
E_tot in eV per atom: -3.30

Unit cell a=4.2807 b=7.9250 c=14.7147 alpha=90.00 beta=90.00 gamma=90.00
Last column: nearest neighbours and their distance in Å.
Space group Immm (No. 71)
Unique sites:
Ca 0.0000 0.0000 0.0000  6 Pd 3.34-3.35, 8 Cd 3.65
Ca 0.0000 0.5000 0.1198  6 Pd 3.10, 6 Cd 3.31-3.44
Cd 0.0000 0.3047 0.3288  4 Pd 2.72-2.84
Pd 0.0000 0.0000 0.2273  6 Cd 2.77-2.84
Pd 0.0000 0.1742 0.5000  2 Cd 2.72, 1 Pd 2.76

=====

[2]
VASP calculation (PBE) on a relaxed Ca2Cd15Pd2 crystal.

Total moment in μB per cell: 0.0
E_tot in eV per atom: -1.64

Unit cell a=10.0025 b=10.0025 c=14.9288 alpha=90.00 beta=90.00 gamma=120.00
Last column: nearest neighbours and their distance in Å.
Space group R-3m (No. 166, hexagonal axes)
Unique sites:
Ca 0.0000 0.0000 0.1779  1 Pd 3.21, 9 Cd 3.54-3.58
Cd 0.0000 0.2893 0.5000  8 Cd 2.89-3.18
Cd 0.0000 0.5000 0.0000  8 Cd 2.90-2.92, 2 Pd 3.02
Cd 0.0036 0.5018 0.6459  8 Cd 2.92-3.18, 1 Pd 3.15
Pd 0.0000 0.0000 0.3926  12 Cd 3.02-3.31, 1 Ca 3.21, 1 Pd 3.21

=====

[3]
VASP calculation (PBE) on a relaxed CaCd5Pd2 crystal.

Total moment in μB per cell: 0.0
E_tot in eV per atom: -2.46

Unit cell a=4.0203 b=8.6050 c=10.3531 alpha=90.00 beta=90.00 gamma=90.00
Last column: nearest neighbours and their distance in Å.
Space group Immm (No. 71)
Unique sites:
Ca 0.0000 0.0000 0.0000  4 Pd 3.12
Cd 0.0000 0.1931 0.3489  3 Pd 2.77-2.88, 4 Cd 3.03-3.04
Cd 0.0000 0.5000 0.0000  2 Pd 2.79, 8 Cd 3.04
Pd 0.0000 0.5000 0.2692  7 Cd 2.77-2.88

=====

[4]
VASP calculation (PBE) on a relaxed CaCd2Pd crystal.

Total moment in μB per cell: 0.0
E_tot in eV per atom: -2.63

Unit cell a=3.5792 b=3.5792 c=6.9050 alpha=90.00 beta=90.00 gamma=90.00
Last column: nearest neighbours and their distance in Å.
Space group P4/mmm (No. 123)
Unique sites:
Ca 0.0000 0.0000 0.0000  8 Cd 3.24, 2 Pd 3.45, 4 Ca 3.58
Cd 0.5000 0.5000 0.2929  1 Cd 2.86, 4 Pd 2.91
Pd 0.0000 0.0000 0.5000  8 Cd 2.91

=====

[5]
VASP calculation (PBE) on a relaxed Ca8CdPd2 crystal.

Total moment in μB per cell: 0.0
E_tot in eV per atom: -2.82

Unit cell a=9.1415 b=13.5080 c=5.8774 alpha=90.00 beta=104.09 gamma=90.00
Last column: nearest neighbours and their distance in Å.
Space group Cm (No. 8)
Unique sites:
Ca 0.0000 0.0000 0.0000  2 Pd 3.11, 1 Cd 3.38
Ca 0.0751 0.3684 0.7838  2 Pd 3.02-3.03
Ca 0.1816 0.1317 0.6136  2 Pd 3.02-3.03
Ca 0.2576 0.5000 0.3982  2 Pd 3.10, 1 Cd 3.37
Ca 0.3783 0.2429 0.1987  2 Pd 3.09-3.10, 1 Cd 3.28
Cd 0.3790 0.0000 0.1980  4 Ca 3.28-3.38
Pd 0.3785 0.3151 0.6990  8 Ca 3.02-3.11

=====

[6]
VASP calculation (PBE) on a relaxed Ca2CdPd crystal.

Total moment in μB per cell: 0.0
E_tot in eV per atom: -3.04

Unit cell a=3.6555 b=3.6555 c=7.5197 alpha=90.00 beta=90.00 gamma=90.00
Last column: nearest neighbours and their distance in Å.
Space group P4/mmm (No. 123)
Unique sites:
Ca 0.0000 0.0000 0.2249  4 Pd 3.09, 4 Cd 3.31, 1 Ca 3.38
Cd 0.5000 0.5000 0.5000  8 Ca 3.31, 4 Cd 3.66
Pd 0.5000 0.5000 0.0000  8 Ca 3.09

=====

[7]
VASP calculation (PBE) on a relaxed Ca2Cd2Pd crystal.

Total moment in μB per cell: 0.0
E_tot in eV per atom: -2.34

Unit cell a=7.5874 b=7.5874 c=4.9526 alpha=90.00 beta=90.00 gamma=90.00
Last column: nearest neighbours and their distance in Å.
Space group P4/mbm (No. 127)
Unique sites:
Ca 0.1663 0.3337 0.0000  2 Pd 2.83
Cd 0.1424 0.6424 0.5000  1 Cd 3.06, 6 Ca 3.22-3.41
Pd 0.0000 0.0000 0.0000  4 Ca 2.83

=====

[8]
VASP calculation (PBE) on a relaxed CaCd3Pd crystal.

Total moment in μB per cell: 0.0
E_tot in eV per atom: -2.36

Unit cell a=7.0813 b=4.3973 c=7.8573 alpha=90.00 beta=104.94 gamma=90.00
Last column: nearest neighbours and their distance in Å.
Space group P2_1/m (No. 11)
Unique sites:
Ca 0.2083 0.2500 0.1799  2 Pd 3.06, 4 Cd 3.34-3.40
Cd 0.0738 0.2500 0.6547  1 Pd 2.78, 3 Cd 2.92-3.10
Cd 0.3113 0.7500 0.8969  3 Pd 2.75-2.86, 1 Cd 3.03
Cd 0.3433 0.7500 0.5203  3 Pd 2.77-2.88, 2 Cd 2.92-3.03
Pd 0.4805 0.2500 0.7558  7 Cd 2.75-2.88, 2 Ca 3.06

=====

[9]
VASP calculation (PBE) on a relaxed Ca4CdPd3 crystal.

Total moment in μB per cell: 0.0
E_tot in eV per atom: -3.65

Unit cell a=11.3981 b=11.3981 c=5.8234 alpha=90.00 beta=90.00 gamma=90.00
Last column: nearest neighbours and their distance in Å.
Space group I4/mcm (No. 140)
Unique sites:
Ca 0.0809 0.2195 0.0000  6 Pd 3.04-3.35, 1 Ca 3.22
Cd 0.0000 0.5000 0.2500  2 Cd 2.91, 4 Pd 2.93
Pd 0.0000 0.0000 0.2500  2 Pd 2.91, 8 Ca 3.04
Pd 0.1575 0.3425 0.5000  2 Cd 2.93, 4 Ca 3.06

=====

[10]
VASP calculation (PBE) on a relaxed CaCd2Pd8 crystal.

Total moment in μB per cell: 0.0
E_tot in eV per atom: -4.40

Unit cell a=7.4555 b=14.3276 c=4.9347 alpha=90.00 beta=131.32 gamma=90.00
Last column: nearest neighbours and their distance in Å.
Space group C2/m (No. 12)
Unique sites:
Ca 0.0000 0.0000 0.0000  6 Pd 2.84-3.10
Cd 0.0000 0.3153 0.5000  12 Pd 2.81-2.99
Pd 0.0000 0.1980 0.0000  6 Pd 2.79-2.96, 4 Cd 2.81-2.99, 1 Ca 2.84
Pd 0.0079 0.5000 0.2593  6 Pd 2.46-2.75
Pd 0.2406 0.1360 0.7438  7 Pd 2.69-2.96, 3 Cd 2.90-2.96

=====

[11]
VASP calculation (PBE) on a relaxed Ca2Cd2Pd15 crystal.

Total moment in μB per cell: 0.0
E_tot in eV per atom: -4.70

Unit cell a=9.2232 b=9.2232 c=13.7689 alpha=90.00 beta=90.00 gamma=120.00
Last column: nearest neighbours and their distance in Å.
Space group R-3m (No. 166, hexagonal axes)
Unique sites:
Ca 0.0000 0.0000 0.1499  15 Pd 3.21-3.58, 1 Cd 3.42
Cd 0.0000 0.0000 0.3985  1 Cd 2.79, 6 Pd 2.81-2.89
Pd 0.0000 0.3068 0.5000  8 Pd 2.70-2.85
Pd 0.0000 0.5000 0.0000  8 Pd 2.68-2.70, 2 Cd 2.81
Pd 0.0034 0.5017 0.6548  8 Pd 2.65-2.85, 1 Cd 2.89

=====

[12]
VASP calculation (PBE) on a relaxed CaCd2Pd crystal.

Total moment in μB per cell: 0.0
E_tot in eV per atom: -2.61

Unit cell a=7.0017 b=7.0017 c=7.0017 alpha=90.00 beta=90.00 gamma=90.00
Last column: nearest neighbours and their distance in Å.
Space group Fm-3m (No. 225)
Unique sites:
Ca 0.0000 0.0000 0.0000  8 Cd 3.03
Cd 0.2500 0.2500 0.2500  4 Ca 3.03, 4 Pd 3.03
Pd 0.0000 0.0000 0.5000  8 Cd 3.03